# 1
A plane-wave DFT calculation with PBE-GGA was carried out for a relaxed structure of Y4Pd7Pt6.

Total magnetic moment: 0.0 μB per cell
Total energy: -111.85 eV per cell
Space-group type: No. 229
Calculated formation energy: -0.79 eV/atom

Cell and atoms, written as extended XYZ:
```
17
Lattice="-4.273 4.273 4.273 4.273 -4.273 4.273 4.273 4.273 -4.273" Properties=species:S:1:pos:R:3 pbc="T T T"
Y 2.136 2.136 -2.136
Y 2.136 -2.136 2.136
Y -2.136 2.136 2.136
Y 2.136 2.136 2.136
Pd 0.000 0.000 0.000
Pd 4.273 2.136 0.000
Pd 4.273 0.000 2.136
Pd 2.136 4.273 0.000
Pd 2.136 0.000 4.273
Pd 0.000 4.273 2.136
Pd 0.000 2.136 4.273
Pt 2.570 0.000 0.000
Pt 5.976 0.000 0.000
Pt 0.000 2.570 0.000
Pt 0.000 0.000 2.570
Pt 0.000 5.976 0.000
Pt 0.000 0.000 5.976
```

***

# 2
A plane-wave DFT calculation with PBE-GGA was carried out for a relaxed structure of Rb2NaAgF6.

Total magnetic moment: 2.0 μB per cell
Total energy: -38.72 eV per cell
Uncorrected formation energy: -2.139 eV per atom
Space-group type: No. 225

Cell and atoms, written as extended XYZ:
```
10
Lattice="0.000 4.407 4.407 4.407 0.000 4.407 4.407 4.407 0.000" Properties=species:S:1:pos:R:3 pbc="T T T"
Rb 2.203 2.203 2.203
Rb 6.610 6.610 6.610
Na 0.000 0.000 0.000
Ag 4.407 4.407 4.407
F 4.407 4.407 2.288
F 4.407 2.288 4.407
F 6.526 4.407 4.407
F 2.288 4.407 4.407
F 4.407 6.526 4.407
F 4.407 4.407 6.526
```

***

# 3
A plane-wave DFT calculation with PBE-GGA was carried out for a relaxed structure of BaTcOs2Pb.

Total magnetic moment: 0.8 μB per cell
Total energy: -20.54 eV per cell
Space-group type: No. 123
Calculated formation energy: 3.58 eV/atom

Cell and atoms, written as extended XYZ:
```
5
Lattice="4.980 0.000 0.000 0.000 4.980 0.000 0.000 0.000 5.727" Properties=species:S:1:pos:R:3 pbc="T T T"
Ba 0.000 0.000 0.000
Tc 2.490 2.490 2.863
Os 0.000 2.490 0.000
Os 2.490 0.000 0.000
Pb 0.000 0.000 2.863
```

***

# 4
A plane-wave DFT calculation with PBE-GGA was carried out for a relaxed structure of NpPa2Ta.

Total magnetic moment: 2.6 μB per cell
Total energy: -42.26 eV per cell
Space-group type: No. 166
Calculated formation energy: 0.38 eV/atom

Cell and atoms, written as extended XYZ:
```
4
Lattice="1.507 0.870 11.184 -1.507 0.870 11.184 0.000 -1.740 11.184" Properties=species:S:1:pos:R:3 pbc="T T T"
Np 0.000 0.000 0.000
Pa 0.000 0.000 2.883
Pa 0.000 0.000 30.670
Ta 0.000 0.000 16.777
```

***

total magnetic moment of number 3 (BaTcOs2Pb)?
0.8 μB per cell

***

The highest total magnetic moment belongs to which entry?
NpPa2Ta

***

Number 2 is which compound?
Rb2NaAgF6

***

Look up the total magnetic moment of the second one.
2.0 μB per cell